(1)
Entry from the Alexandria database: a relaxed structure of Pa3Co2Ni7 (PBE).

Results
- SG = No. 166
- energy relative to the elements (meV/atom) = -368
- magnetization (μB/atom) = 0.09
- VASP energy (eV per formula unit) = -87.6

a b c (Å): 4.8673 4.8673 8.7519
angles (deg): 73.85 73.85 60.00
Site moments in Bohr magnetons follow the coordinates.
Sites, in units of the cell vectors:
Pa1 0.1390 0.1390 0.5829  -0.01
Pa2 0.0000 0.0000 0.0000  -0.30
Pa3 0.8610 0.8610 0.4171  -0.01
Co1 0.3330 0.3330 0.0011  0.55
Co2 0.6670 0.6670 0.9989  0.55
Ni1 0.5000 0.5000 0.5000  0.00
Ni2 0.0819 0.5828 0.7526  0.06
Ni3 0.4172 0.9181 0.2474  0.06
Ni4 0.5828 0.0819 0.7526  0.06
Ni5 0.9181 0.4172 0.2474  0.06
Ni6 0.4172 0.4172 0.2474  0.06
Ni7 0.5828 0.5828 0.7526  0.06

=====

(2)
Entry from the Alexandria database: a relaxed structure of SbMo2Cl (PBE).

Results
- SG = No. 71
- raw formation energy (eV per atom) = 0.661
- magnetization (μB/atom) = 0.00
- relative energy among the computed polymorphs (eV per atom) = 0.761
- VASP energy (eV per formula unit) = -25.0

a b c (Å): 5.3284 5.3284 5.3284
angles (deg): 147.02 117.96 72.08
Sites, in units of the cell vectors:
Sb1 0.7500 0.2500 0.5000
Mo1 0.0192 0.0192 0.0000
Mo2 0.4808 0.4808 0.0000
Cl1 0.2500 0.7500 0.5000

=====

(3)
Entry from the Alexandria database: a relaxed structure of Th3Cd4In2Au2 (PBE).

Results
- SG = No. 139
- energy relative to the elements (meV/atom) = -275
- magnetization (μB/atom) = 0.00
- VASP energy (eV per formula unit) = -41.0

a b c (Å): 4.4119 4.4119 14.6819
angles (deg): 98.64 98.64 90.00
Sites, in units of the cell vectors:
Cd1 0.6146 0.1146 0.2291
Cd2 0.8854 0.3854 0.7709
Cd3 0.1146 0.6146 0.2291
Cd4 0.3854 0.8854 0.7709
Th1 0.2089 0.2089 0.4178
Th2 0.7911 0.7911 0.5822
Th3 0.0000 0.0000 0.0000
Au1 0.3136 0.3136 0.6273
Au2 0.6864 0.6864 0.3727
In1 0.4519 0.4519 0.9038
In2 0.5481 0.5481 0.0962

=====

(4)
Entry from the Alexandria database: a relaxed structure of Li4Tm3MnSe8 (PBE).

Results
- SG = No. 166
- raw formation energy (eV per atom) = -1.430
- magnetization (μB/atom) = 0.25
- VASP energy (eV per formula unit) = -81.0

a b c (Å): 7.8998 7.9037 7.9004
angles (deg): 120.00 120.00 90.00
Site moments in Bohr magnetons follow the coordinates.
Sites, in units of the cell vectors:
Se1 0.2400 0.7447 0.0049  -0.02
Se2 0.2403 0.7451 0.4806  -0.02
Se3 0.2351 0.2553 0.9951  -0.02
Se4 0.2490 0.2471 0.4980  0.00
Se5 0.7510 0.7529 0.5020  0.00
Se6 0.7600 0.2553 0.9951  -0.02
Se7 0.7649 0.7447 0.0049  -0.02
Se8 0.7597 0.2549 0.5194  -0.02
Tm1 0.0000 0.5000 0.5000  0.01
Tm2 0.5000 0.5000 0.0000  0.01
Tm3 0.5000 0.5000 0.5000  0.01
Li1 0.5000 0.0000 0.0000  0.01
Li2 0.5000 0.0000 0.5000  0.00
Li3 0.0000 0.0000 0.5000  0.00
Li4 0.0000 0.0000 0.0000  0.00
Mn1 0.0000 0.5000 0.0000  3.83